{"formula": "Ho2TmMg4Tl2", "functional": "PBE-GGA", "state": "optimized geometry", "total_energy_ev_per_atom": -2.948, "cell": [[4.620, 0.000, 0.000], [0.000, 6.524, 3.778], [0.000, -6.524, 3.778]], "species": ["Tm", "Mg", "Mg", "Mg", "Mg", "Tl", "Tl", "Ho", "Ho"], "frac_coords": [[0.000, 0.437, 0.437], [0.500, 0.242, 0.000], [0.000, 0.002, 0.002], [0.500, 0.758, 0.758], [0.500, 0.000, 0.242], [0.500, 0.333, 0.665], [0.500, 0.665, 0.333], [0.000, 0.563, 0.999], [0.000, 0.999, 0.563]]}


{"formula": "Y2HoMg4Tl2", "functional": "PBE-GGA", "state": "optimized geometry", "total_energy_ev_per_atom": -3.411, "cell": [[4.631, 0.000, 0.000], [0.000, 6.557, 3.795], [0.000, -6.557, 3.795]], "species": ["Ho", "Mg", "Mg", "Mg", "Mg", "Tl", "Tl", "Y", "Y"], "frac_coords": [[0.000, 0.564, 0.564], [0.000, 0.999, 0.999], [0.500, 0.758, 0.000], [0.500, 0.000, 0.758], [0.500, 0.242, 0.242], [0.500, 0.334, 0.667], [0.500, 0.667, 0.334], [0.000, 0.436, 0.000], [0.000, 0.000, 0.436]]}


{"formula": "YHo2Mg3Tl2Zn", "functional": "PBE-GGA", "state": "optimized geometry", "total_energy_ev_per_atom": -3.239, "cell": [[-0.154, -3.134, 3.277], [5.229, 3.758, 3.839], [-7.265, 1.496, 1.089]], "species": ["Tl", "Tl", "Mg", "Mg", "Mg", "Ho", "Ho", "Zn", "Y"], "frac_coords": [[0.500, 0.332, 0.667], [0.500, 0.667, 0.332], [0.500, 0.000, 0.765], [0.500, 0.236, 0.236], [0.500, 0.765, 0.000], [0.000, 0.415, 0.000], [0.000, 0.000, 0.415], [0.000, 0.002, 0.002], [0.000, 0.584, 0.584]]}


What are the size of the total moment values for these records? In order: 0.00 0.00 0.00 μB per cell.